First-principles (PBE) data for crystalline Tl3ZnI5 at its relaxed geometry, as listed in Alexandria via LeMat-Bulk.

Output
The total energy comes out at -2.402 eV per atom. For the energy relative to the elements, uncorrected, the calculation gives -0.611 eV/atom. For the calculated volume, the calculation gives 39.6 Å³ per atom. The calculation puts the density of states at the Fermi level at 0.00 states/eV/f.u.

Lattice parameters (Å, degrees): 10.5422 10.5422 10.5422 127.68 127.68 77.15
Last column: nearest neighbours and their distance in Å.
Fractional positions:
Tl (0.1503, 0.6503, 0.8006)  8 I 3.54-3.78, 1 Tl 3.95
Tl (0.2500, 0.2500, 0.0000)  10 I 3.87-4.12
Tl (0.3497, 0.1503, 0.5000)  8 I 3.54-3.78, 1 Tl 3.95
Tl (0.6503, 0.8497, 0.5000)  8 I 3.54-3.78, 1 Tl 3.95
Tl (0.7500, 0.7500, 0.0000)  10 I 3.87-4.12
Tl (0.8497, 0.3497, 0.1994)  8 I 3.54-3.78, 1 Tl 3.95
Zn (0.2500, 0.7500, 0.5000)  4 I 2.63
Zn (0.7500, 0.2500, 0.5000)  4 I 2.63
I (0.0000, 0.0000, 0.0000)  4 Tl 3.54
I (0.0062, 0.1928, 0.5000)  1 Zn 2.63
I (0.1928, 0.6928, 0.1866)  1 Zn 2.63
I (0.3072, 0.4938, 0.5000)  1 Zn 2.63
I (0.4938, 0.9938, 0.1866)  1 Zn 2.63
I (0.5000, 0.5000, 0.0000)  4 Tl 3.54
I (0.5062, 0.0062, 0.8134)  1 Zn 2.63
I (0.6928, 0.5062, 0.5000)  1 Zn 2.63
I (0.8072, 0.3072, 0.8134)  1 Zn 2.63
I (0.9938, 0.8072, 0.5000)  1 Zn 2.63

***

First-principles (PBE) data for crystalline ZrTlI at its relaxed geometry, as listed in Alexandria via LeMat-Bulk.

Output
The total energy comes out at -4.454 eV per atom. For the energy relative to the elements, uncorrected, the calculation gives -0.300 eV/atom. For the calculated volume, the calculation gives 29.6 Å³ per atom. The calculation puts the density of states at the Fermi level at 3.05 states/eV/f.u.

Lattice parameters (Å, degrees): 15.4953 3.6391 6.3039 90.00 90.00 90.00
Last column: nearest neighbours and their distance in Å.
Fractional positions:
Zr (0.1493, 0.0000, 0.0000)  3 I 2.91, 3 Tl 3.12-3.13
Zr (0.1493, 0.5000, 0.5000)  3 I 2.91, 3 Tl 3.12-3.13
Zr (0.8507, 0.0000, 0.0000)  3 I 2.91, 3 Tl 3.12-3.13
Zr (0.8507, 0.5000, 0.5000)  3 I 2.91, 3 Tl 3.12-3.13
Tl (0.0000, 0.0000, 0.6666)  6 Zr 3.12-3.13
Tl (0.0000, 0.5000, 0.1666)  6 Zr 3.12-3.13
Tl (0.5000, 0.0000, 0.0060)  6 Tl 3.64, 6 I 4.00-4.03
Tl (0.5000, 0.5000, 0.5060)  6 Tl 3.64, 6 I 4.00-4.03
I (0.2796, 0.0000, 0.6667)  3 Zr 2.91
I (0.2796, 0.5000, 0.1667)  3 Zr 2.91
I (0.7204, 0.0000, 0.6667)  3 Zr 2.91
I (0.7204, 0.5000, 0.1667)  3 Zr 2.91

***

First-principles (PBE) data for crystalline Zr2Tl2I at its relaxed geometry, as listed in Alexandria via LeMat-Bulk.

Output
The total energy comes out at -4.676 eV per atom. For the energy relative to the elements, uncorrected, the calculation gives 0.000 eV/atom. Its excess energy over the best structure of this formula in the dataset is 0.0 meV per atom. For the calculated volume, the calculation gives 26.0 Å³ per atom. The calculation puts the density of states at the Fermi level at 4.06 states/eV/f.u.

Lattice parameters (Å, degrees): 7.7561 7.7561 4.3191 90.00 90.00 90.00
Last column: nearest neighbours and their distance in Å.
Fractional positions:
Zr (0.1396, 0.3604, 0.0000)  2 I 3.00, 1 Zr 3.06, 6 Tl 3.09-3.17
Zr (0.3604, 0.8604, 0.0000)  2 I 3.00, 1 Zr 3.06, 6 Tl 3.09-3.17
Zr (0.6396, 0.1396, 0.0000)  2 I 3.00, 1 Zr 3.06, 6 Tl 3.09-3.17
Zr (0.8604, 0.6396, 0.0000)  2 I 3.00, 1 Zr 3.06, 6 Tl 3.09-3.17
Tl (0.1595, 0.6595, 0.5000)  6 Zr 3.09-3.17
Tl (0.3405, 0.1595, 0.5000)  6 Zr 3.09-3.17
Tl (0.6595, 0.8405, 0.5000)  6 Zr 3.09-3.17
Tl (0.8405, 0.3405, 0.5000)  6 Zr 3.09-3.17
I (0.0000, 0.0000, 0.0000)  4 Zr 3.00
I (0.5000, 0.5000, 0.0000)  4 Zr 3.00

***

Which value of energy relative to the elements, uncorrected does entry 1 give?
-0.611 eV/atom